Record 1
Density functional theory data (PBE-GGA) for Ac2Pm4Sn3O2 after structural relaxation.

abc: 4.873 4.873 26.546
angles: 90.00 90.00 90.00
Space group I4/mmm (No. 139)
One atom of each set of equivalent atoms:
Ac1 0.000 0.000 0.193 [4 per cell]
Pm1 0.000 0.500 0.080 [8 per cell]
Sn1 0.000 0.000 0.329 [4 per cell]
Sn2 0.000 0.000 0.500 [2 per cell]
O1 0.000 0.000 0.095 [4 per cell]

Computed properties:
M_tot = 0.00 μB per atom
Uncorrected formation energy = -16.56 eV per formula unit
Mass density = 7.49 g/cm³
DOS at the Fermi energy = 6.81 states/eV/f.u.

=====

Record 2
Density functional theory data (PBE-GGA) for NdCu4Au3O12 after structural relaxation.

abc: 7.586 7.586 7.586
angles: 90.00 90.00 90.00
Space group Im-3 (No. 204)
One atom of each set of equivalent atoms:
Nd1 0.000 0.000 0.000 [2 per cell]
Cu1 0.250 0.250 0.250 [8 per cell]
Au1 0.000 0.000 0.500 [6 per cell]
O1 0.000 0.175 0.296 [24 per cell]

Computed properties:
M_tot = 0.00 μB per atom
Uncorrected formation energy = -13.77 eV per formula unit
Mass density = 8.99 g/cm³
DOS at the Fermi energy = 6.88 states/eV/f.u.

=====

Record 3
Density functional theory data (PBE-GGA) for SmEuGaPd after structural relaxation.

abc: 7.302 7.302 7.302
angles: 90.00 90.00 90.00
Space group F-43m (No. 216)
One atom of each set of equivalent atoms:
Sm1 0.000 0.000 0.000 [4 per cell]
Eu1 0.000 0.000 0.500 [4 per cell]
Ga1 0.250 0.250 0.750 [4 per cell]
Pd1 0.250 0.250 0.250 [4 per cell]

Computed properties:
M_tot = 1.72 μB per atom
Energy of formation = -0.5627 eV per atom
Mass density = 8.16 g/cm³
DOS at the Fermi energy = 7.67 states/eV/f.u.

=====

Record 4
Density functional theory data (PBE-GGA) for Pa2CrGa after structural relaxation.

abc: 4.294 4.294 4.324
angles: 90.00 90.00 90.00
Space group P4/mmm (No. 123)
One atom of each set of equivalent atoms:
Pa1 0.000 0.500 0.000 [2 per cell]
Cr1 0.000 0.000 0.500 [1 per cell]
Ga1 0.500 0.500 0.500 [1 per cell]

Computed properties:
Polymorph energy (0 for the lowest one) = 0.00 eV/f.u.
M_tot = 0.42 μB per atom
Energy of formation = -0.0231 eV per atom
Mass density = 12.16 g/cm³
DOS at the Fermi energy = 4.78 states/eV/f.u.

=====

Record 5
Density functional theory data (PBE-GGA) for NbVAsCl2 after structural relaxation.

abc: 4.513 4.513 5.403
angles: 90.00 90.00 90.00
Space group P4/mmm (No. 123)
One atom of each set of equivalent atoms:
Nb1 0.000 0.000 0.000 [1 per cell]
V1 0.500 0.500 0.500 [1 per cell]
As1 0.500 0.500 0.000 [1 per cell]
Cl1 0.000 0.500 0.500 [2 per cell]

Computed properties:
M_tot = 1.00 μB per atom
Uncorrected formation energy = 1.21 eV per formula unit
Mass density = 4.37 g/cm³
DOS at the Fermi energy = 4.90 states/eV/f.u.

=====

Record 6
Density functional theory data (PBE-GGA) for HoAlGe after structural relaxation.

abc: 4.069 4.069 8.269
angles: 90.00 90.00 90.00
Space group I4mm (No. 107)
One atom of each set of equivalent atoms:
Ho1 0.000 0.000 0.000 [2 per cell]
Al1 0.000 0.000 0.352 [2 per cell]
Ge1 0.000 0.000 0.654 [2 per cell]

Computed properties:
M_tot = 0.00 μB per atom
Energy of formation = -0.1830 eV per atom
Mass density = 6.42 g/cm³
DOS at the Fermi energy = 2.34 states/eV/f.u.

=====

Record 7
Density functional theory data (PBE-GGA) for TiRe2Mo4 after structural relaxation.

abc: 13.666 2.669 6.958
angles: 90.00 118.51 90.00
Space group C2/m (No. 12)
One atom of each set of equivalent atoms:
Ti1 0.000 0.000 0.000 [2 per cell]
Re1 0.219 0.000 0.144 [4 per cell]
Mo1 0.072 0.000 0.707 [4 per cell]
Mo2 0.144 0.500 0.415 [4 per cell]

Computed properties:
M_tot = 0.00 μB per atom
Energy of formation = 0.2773 eV per atom
Mass density = 11.97 g/cm³
DOS at the Fermi energy = 7.61 states/eV/f.u.

=====

Record 8
Density functional theory data (PBE-GGA) for DySc2Bi3 after structural relaxation.

abc: 6.153 13.030 8.657
angles: 90.00 90.00 90.00
Space group P2_1/c (No. 14)
One atom of each set of equivalent atoms:
Dy1 0.250 0.079 0.126 [4 per cell]
Sc1 0.249 0.744 0.626 [4 per cell]
Sc2 0.250 0.085 0.625 [4 per cell]
Bi1 0.250 0.587 0.364 [4 per cell]
Bi2 0.250 0.588 0.887 [4 per cell]
Bi3 0.251 0.249 0.875 [4 per cell]

Computed properties:
M_tot = 0.00 μB per atom
Energy of formation = -0.7135 eV per atom
Mass density = 8.42 g/cm³
DOS at the Fermi energy = 0.85 states/eV/f.u.

=====

Record 9
Density functional theory data (PBE-GGA) for HfPdI2O after structural relaxation.

abc: 5.553 5.553 3.834
angles: 90.00 90.00 90.00
Space group P4/mmm (No. 123)
One atom of each set of equivalent atoms:
Hf1 0.000 0.000 0.000 [1 per cell]
Pd1 0.500 0.500 0.500 [1 per cell]
I1 0.000 0.500 0.500 [2 per cell]
O1 0.500 0.500 0.000 [1 per cell]

Computed properties:
Polymorph energy (0 for the lowest one) = 5.65 eV/f.u.
M_tot = 0.00 μB per atom
Uncorrected formation energy = 1.51 eV per formula unit
Mass density = 7.79 g/cm³
DOS at the Fermi energy = 7.13 states/eV/f.u.

=====

Record 10
Density functional theory data (PBE-GGA) for Li3NdNp2Te6 after structural relaxation.

abc: 7.638 13.226 7.505
angles: 90.00 109.83 90.00
Space group C2/m (No. 12)
One atom of each set of equivalent atoms:
Li1 0.000 0.000 0.000 [2 per cell]
Li2 0.000 0.335 0.000 [4 per cell]
Nd1 0.000 0.500 0.500 [2 per cell]
Np1 0.000 0.167 0.500 [4 per cell]
Te1 0.244 0.169 0.240 [8 per cell]
Te2 0.248 0.000 0.761 [4 per cell]

Computed properties:
M_tot = 0.67 μB per atom
Uncorrected formation energy = -11.43 eV per formula unit
Mass density = 6.54 g/cm³
DOS at the Fermi energy = 21.35 states/eV/f.u.

=====

Record 11
Density functional theory data (PBE-GGA) for NpAlPt2 after structural relaxation.

abc: 4.299 6.720 5.335
angles: 90.00 90.00 90.00
Space group Pmmn (No. 59, origin choice 2)
One atom of each set of equivalent atoms:
Np1 0.250 0.250 0.168 [2 per cell]
Al1 0.250 0.750 0.336 [2 per cell]
Pt1 0.250 0.036 0.678 [4 per cell]

Computed properties:
M_tot = 0.94 μB per atom
Energy of formation = -0.6903 eV per atom
Mass density = 14.09 g/cm³
DOS at the Fermi energy = 10.37 states/eV/f.u.

=====

Record 12
Density functional theory data (PBE-GGA) for SrTaRe2Au after structural relaxation.

abc: 5.021 5.021 4.922
angles: 90.00 90.00 90.00
Space group P4/mmm (No. 123)
One atom of each set of equivalent atoms:
Sr1 0.000 0.000 0.000 [1 per cell]
Ta1 0.500 0.500 0.000 [1 per cell]
Re1 0.000 0.500 0.500 [2 per cell]
Au1 0.500 0.500 0.500 [1 per cell]

Computed properties:
M_tot = 0.02 μB per atom
Energy of formation = 2.0847 eV per atom
Mass density = 11.21 g/cm³
DOS at the Fermi energy = 12.05 states/eV/f.u.

=====

Record 13
Density functional theory data (PBE-GGA) for TiRh2F2 after structural relaxation.

abc: 6.203 6.203 4.237
angles: 90.00 90.00 90.00
Space group P4/mbm (No. 127)
One atom of each set of equivalent atoms:
Ti1 0.000 0.000 0.000 [2 per cell]
Rh1 0.149 0.351 0.000 [4 per cell]
F1 0.170 0.330 0.500 [4 per cell]

Computed properties:
Polymorph energy (0 for the lowest one) = 0.99 eV/f.u.
M_tot = 0.00 μB per atom
Uncorrected formation energy = -2.93 eV per formula unit
Mass density = 5.94 g/cm³
DOS at the Fermi energy = 2.16 states/eV/f.u.

=====

Record 14
Density functional theory data (PBE-GGA) for YSbO3 after structural relaxation.

abc: 4.294 4.294 4.294
angles: 90.00 90.00 90.00
Space group Pm-3m (No. 221)
One atom of each set of equivalent atoms:
Y1 0.000 0.000 0.000 [1 per cell]
Sb1 0.500 0.500 0.500 [1 per cell]
O1 0.000 0.000 0.500 [3 per cell]

Computed properties:
M_tot = 0.00 μB per atom
Uncorrected formation energy = -7.48 eV per formula unit
Mass density = 5.43 g/cm³
DOS at the Fermi energy = 1.79 states/eV/f.u.

=====

Record 15
Density functional theory data (PBE-GGA) for RbCeHg2I6 after structural relaxation.

abc: 8.0290 8.0290 26.8935
angles: 90.00 90.00 120.00
Space group R3 (No. 146, hexagonal axes)
One atom of each set of equivalent atoms:
Rb1 0.0000 0.0000 0.0000 [3 per cell]
Ce1 0.0000 0.0000 0.5098 [3 per cell]
Hg1 0.0000 0.0000 0.1756 [3 per cell]
Hg2 0.0000 0.0000 0.6865 [3 per cell]
I1 0.0022 0.6314 0.7757 [9 per cell]
I2 0.0046 0.3680 0.9098 [9 per cell]

Computed properties:
M_tot = 0.11 μB per atom
Uncorrected formation energy = -8.76 eV per formula unit
Mass density = 4.61 g/cm³
DOS at the Fermi energy = 8.07 states/eV/f.u.

=====

Record 16
Density functional theory data (PBE-GGA) for Tb5Sm4Y2 after structural relaxation.

abc: 11.099 7.445 9.174
angles: 90.00 105.69 90.00
Space group C2/m (No. 12)
One atom of each set of equivalent atoms:
Tb1 0.000 0.000 0.000 [2 per cell]
Tb2 0.072 0.280 0.274 [8 per cell]
Sm1 0.168 0.500 0.618 [4 per cell]
Sm2 0.188 0.500 0.996 [4 per cell]
Y1 0.141 0.000 0.625 [4 per cell]

Computed properties:
Polymorph energy (0 for the lowest one) = 0.18 eV/f.u.
M_tot = 0.00 μB per atom
Energy of formation = 0.1191 eV per atom
Mass density = 7.16 g/cm³
DOS at the Fermi energy = 17.26 states/eV/f.u.

=====

Record 17
Density functional theory data (PBE-GGA) for Hf3ZrGe after structural relaxation.

abc: 4.986 4.986 4.986
angles: 90.00 90.00 90.00
Space group Pm-3m (No. 221)
One atom of each set of equivalent atoms:
Hf1 0.000 0.000 0.500 [3 per cell]
Zr1 0.500 0.500 0.500 [1 per cell]
Ge1 0.000 0.000 0.000 [1 per cell]

Computed properties:
Polymorph energy (0 for the lowest one) = 0.00 eV/f.u.
M_tot = 0.14 μB per atom
Energy of formation = 0.3749 eV per atom
Mass density = 9.37 g/cm³
DOS at the Fermi energy = 7.29 states/eV/f.u.

=====

Record 18
Density functional theory data (PBE-GGA) for ErAlH after structural relaxation.

abc: 7.751 4.168 5.966
angles: 90.00 90.00 90.00
Space group Pnma (No. 62)
One atom of each set of equivalent atoms:
Er1 0.180 0.250 0.128 [4 per cell]
Al1 0.037 0.250 0.630 [4 per cell]
H1 0.246 0.750 0.994 [4 per cell]

Computed properties:
Polymorph energy (0 for the lowest one) = 0.00 eV/f.u.
M_tot = 0.00 μB per atom
Mass density = 6.73 g/cm³
DOS at the Fermi energy = 1.61 states/eV/f.u.

=====

Record 19
Density functional theory data (PBE-GGA) for BeTlBi3 after structural relaxation.

abc: 5.866 5.866 5.866
angles: 90.00 90.00 90.00
Space group Pm-3m (No. 221)
One atom of each set of equivalent atoms:
Be1 0.000 0.000 0.000 [1 per cell]
Tl1 0.500 0.500 0.500 [1 per cell]
Bi1 0.000 0.500 0.500 [3 per cell]

Computed properties:
Polymorph energy (0 for the lowest one) = 4.89 eV/f.u.
M_tot = 0.00 μB per atom
Energy of formation = 1.3525 eV per atom
Mass density = 6.91 g/cm³
DOS at the Fermi energy = 6.11 states/eV/f.u.

=====

Record 20
Density functional theory data (PBE-GGA) for Cs3SbO3 after structural relaxation.

abc: 9.104 15.745 6.426
angles: 90.00 90.00 90.00
Space group Cmcm (No. 63)
One atom of each set of equivalent atoms:
Cs1 0.000 0.174 0.250 [4 per cell]
Cs2 0.238 0.413 0.250 [8 per cell]
Sb1 0.000 0.333 0.750 [4 per cell]
O1 0.000 0.204 0.750 [4 per cell]
O2 0.193 0.398 0.750 [8 per cell]

Computed properties:
Polymorph energy (0 for the lowest one) = 2.24 eV/f.u.
M_tot = 0.00 μB per atom
Uncorrected formation energy = -8.20 eV per formula unit
Mass density = 4.10 g/cm³
DOS at the Fermi energy = 2.97 states/eV/f.u.

=====

Record 21
Density functional theory data (PBE-GGA) for Sr2AlB2Rh5 after structural relaxation.

abc: 9.966 9.966 3.038
angles: 90.00 90.00 90.00
Space group P4/mbm (No. 127)
One atom of each set of equivalent atoms:
Sr1 0.178 0.322 0.000 [4 per cell]
Al1 0.000 0.000 0.000 [2 per cell]
B1 0.121 0.621 0.000 [4 per cell]
Rh1 0.000 0.500 0.500 [2 per cell]
Rh2 0.067 0.777 0.500 [8 per cell]

Computed properties:
M_tot = 0.00 μB per atom
Energy of formation = -0.4589 eV per atom
Mass density = 8.13 g/cm³
DOS at the Fermi energy = 3.21 states/eV/f.u.

=====

Record 22
Density functional theory data (PBE-GGA) for NdH2Cl3 after structural relaxation.

abc: 7.7596 7.7596 7.5272
angles: 90.00 90.00 120.00
Space group P6_3/mmc (No. 194)
One atom of each set of equivalent atoms:
Nd1 0.0000 0.0000 0.0000 [2 per cell]
H1 0.3333 0.6667 0.0462 [4 per cell]
Cl1 0.1517 0.3035 0.7500 [6 per cell]

Computed properties:
M_tot = 0.33 μB per atom
Mass density = 2.14 g/cm³
E = -0.1302 hartree per atom
DOS at the Fermi energy = 0.00 states/eV/f.u.